No. 1
Sb3Se after structural relaxation, computed with GGA-PBE.

a b c (Å): 8.709 8.659 6.165
angles (deg): 90.00 90.00 90.00
Space group Cmcm (No. 63)
Inequivalent atoms, fractional coordinates:
Sb 0.000 0.241 0.250 x4
Sb 0.248 0.006 0.250 x8
Se 0.000 0.272 0.750 x4

Results
Relative energy among the computed polymorphs in meV/atom: 11.8
Magnetic moment in μB per formula unit: 0.00
Uncorrected energy in eV/f.u.: -15.8
E_form (uncorrected) in eV per formula unit: 0.0

=====

No. 2
Sb3Se5 after structural relaxation, computed with GGA-PBE.

a b c (Å): 7.658 12.113 4.401
angles (deg): 90.00 90.00 90.00
Space group Cmmm (No. 65)
Inequivalent atoms, fractional coordinates:
Sb 0.000 0.000 0.000 x2
Sb 0.000 0.331 0.500 x4
Se 0.000 0.500 0.000 x2
Se 0.233 0.000 0.500 x4
Se 0.250 0.250 0.000 x4

Results
Relative energy among the computed polymorphs in meV/atom: 138.0
Magnetic moment in μB per formula unit: 0.00
Uncorrected energy in eV/f.u.: -29.1
E_form (uncorrected) in eV per formula unit: 0.7

=====

No. 3
SbSe2 after structural relaxation, computed with GGA-PBE.

a b c (Å): 3.655 3.655 10.627
angles (deg): 90.00 90.00 90.00
Space group I4/mmm (No. 139)
Inequivalent atoms, fractional coordinates:
Sb 0.000 0.000 0.000 x2
Se 0.000 0.000 0.350 x4

Results
Magnetic moment in μB per formula unit: 0.00
Uncorrected energy in eV/f.u.: -10.6
E_form (uncorrected) in eV per formula unit: 0.5

=====

Question: Look up the magnetic moment of the third one.
Answer: 0.00 μB per formula unit